TlMo | PBE | relaxed

a b c (Å): 6.2037 6.2037 6.2037
angles (deg): 150.42 132.65 56.82
Sites, in units of the cell vectors:
Mo: 0.4159 0.6659 0.2500
Mo: 0.5841 0.3341 0.7500
Tl: 0.8578 0.1078 0.2500
Tl: 0.1422 0.8922 0.7500

Values from the calculation:
Energy of formation from the pure elements, eV/f.u.: 1.38
Magnetic moment, μB per formula unit: 0.0
V, Å³ per cell: 86.1
Space group: Imma, No. 74